Record 1
PBE Ta2TlNi, relaxed; ΔE_f = 0.31 eV/atom; calculated total energy = -30.63 eV/cell; total magnetization = 0.000 μB per atom; calculated volume = 71 Å³/f.u.
1.0
5.5088 -0.0025 0.0002
2.4785 4.9198 -0.0002
-3.3390 -3.5220 2.6065
Ni Ta Tl
1 2 1
direct
0.7650 0.2650 0.5000 Ni
0.9754 0.9754 0.0000 Ta
0.2351 0.7351 0.5000 Ta
0.5244 0.5244 0.0000 Tl

Record 2
PBE TaTl2Ni, relaxed; ΔE_f = 0.66 eV/atom; calculated total energy = -19.72 eV/cell; total magnetization = 0.000 μB per atom; calculated volume = 78 Å³/f.u.
1.0
5.4435 -0.0001 0.0000
2.3453 4.9124 0.0000
-3.8944 -2.4562 2.9039
Ni Ta Tl
1 1 2
direct
0.5000 0.5000 0.0000 Ni
0.7500 0.2500 0.5000 Ta
0.0000 0.0000 0.0000 Tl
0.2500 0.7500 0.5000 Tl